# RbTmTe3Au

A relaxed structure of RbTmTe3Au (PBE-GGA, the Open Quantum Materials Database).

Computed properties:
Total magnetic moment   0.004 μB per cell
Uncorrected energy   -3.925 eV per atom
SG   Cmcm
Calculated density   6.86 Mg/m³

Cell lengths 8.7655, 8.7655, 11.2405 Å; angles 90.00, 90.00, 152.14 degrees
Atoms (fractional coordinates):
Te 0.8740 0.1260 0.5457
Te 0.5729 0.4271 0.7500
Te 0.1260 0.8740 0.0457
Te 0.8740 0.1260 0.9543
Te 0.4271 0.5729 0.2500
Te 0.1260 0.8740 0.4543
Au 0.9638 0.0362 0.7500
Au 0.0362 0.9638 0.2500
Rb 0.2571 0.7429 0.7500
Rb 0.7429 0.2571 0.2500
Tm 0.5000 0.5000 0.5000
Tm 0.5000 0.5000 0.0000